{"formula": "UPd4Au2", "functional": "PBE-GGA", "state": "relaxed", "cell": [[5.094, 0.000, 0.000], [0.000, 5.094, 0.000], [-2.547, -2.547, 6.466]], "species": ["U", "Pd", "Pd", "Pd", "Pd", "Au", "Au"], "fractional_positions": [[0.000, 0.000, 0.000], [0.186, 0.186, 0.372], [0.814, 0.814, 0.628], [0.000, 0.500, 0.000], [0.500, 0.000, 0.000], [0.394, 0.394, 0.787], [0.606, 0.606, 0.213]], "final_energy_ev_per_atom": -5.05, "ef_mev_per_atom": 462, "e_above_lowest_polymorph_mev_per_atom": 763, "sg": "I4/mmm"}